# 1
# Bi2WO6 (meta-GGA SCAN, single point on PBEsol structure)
# raw total energy: -1118.62 eV per cell
# Fermi-level density of states: 0.00 states/eV/f.u.
# ΔE to the lowest computed polymorph: 0.013 eV/atom
data_Bi2WO6
_chemical_formula_sum 'Bi8 W4 O24'
_space_group_name_H-M_alt 'C 1 2/m 1'
_space_group_IT_number 12
_cell_length_a 16.149
_cell_length_b 3.806
_cell_length_c 8.207
_cell_angle_alpha 90.00
_cell_angle_beta 101.82
_cell_angle_gamma 90.00
loop_
_space_group_symop_operation_xyz
'x,y,z'
'-x,-y,-z'
'-x,y,-z'
'x,-y,z'
'x+1/2,y+1/2,z'
'-x+1/2,-y+1/2,-z'
'-x+1/2,y+1/2,-z'
'x+1/2,-y+1/2,z'
loop_
_atom_site_label
_atom_site_type_symbol
_atom_site_fract_x
_atom_site_fract_y
_atom_site_fract_z
_atom_site_occupancy
Bi1 Bi 0.166 0.000 0.072 1
Bi2 Bi 0.180 0.000 0.606 1
W1 W 0.004 0.500 0.704 1
O1 O 0.006 0.000 0.685 1
O2 O 0.074 0.500 0.169 1
O3 O 0.078 0.500 0.513 1
O4 O 0.109 0.500 0.843 1
O5 O 0.232 0.000 0.364 1
O6 O 0.248 0.500 0.119 1


# 2
# CsMoS3 (meta-GGA SCAN, single point on PBEsol structure)
# raw total energy: -104.93 eV per cell
# Fermi-level density of states: 1.38 states/eV/f.u.
data_CsMoS3
_chemical_formula_sum 'Cs1 Mo1 S3'
_space_group_name_H-M_alt 'P m -3 m'
_space_group_IT_number 221
_space_group_name_Hall '-P 4 2 3'
_cell_length_a 4.766
_cell_length_b 4.766
_cell_length_c 4.766
_cell_angle_alpha 90.00
_cell_angle_beta 90.00
_cell_angle_gamma 90.00
loop_
_atom_site_label
_atom_site_type_symbol
_atom_site_fract_x
_atom_site_fract_y
_atom_site_fract_z
_atom_site_occupancy
Cs1 Cs 0.000 0.000 0.000 1
Mo1 Mo 0.500 0.500 0.500 1
S1 S 0.000 0.500 0.500 1


Number 1: uncorrected formation energy -1.713 eV per atom. Number 2: uncorrected formation energy -0.669 eV per atom.